Model P:
Material: Ac2Pr3Hg4
Method: DFT, PBE
State: optimized geometry

Computed properties:
**Symmetry**: P2_1/c
**Fermi-level density of states**: 10.2 states/eV/f.u.

abc: 8.373 9.241 8.091
angles: 90.00 90.00 110.37
Fractional positions:
1 Hg 0.156 0.928 0.456
2 Hg 0.656 0.928 0.044
3 Hg 0.131 0.500 0.871
4 Hg 0.344 0.072 0.956
5 Hg 0.844 0.072 0.544
6 Hg 0.631 0.500 0.629
7 Hg 0.369 0.500 0.371
8 Hg 0.869 0.500 0.129
9 Ac 0.561 0.191 0.326
10 Ac 0.439 0.809 0.674
11 Ac 0.061 0.191 0.174
12 Ac 0.939 0.809 0.826
13 Pr 0.268 0.759 0.160
14 Pr 0.500 0.500 0.000
15 Pr 0.232 0.241 0.660
16 Pr 0.732 0.241 0.840
17 Pr 0.768 0.759 0.340
18 Pr 0.000 0.500 0.500

***

Model Q:
Material: Ac2Pr3Hg4
Method: DFT, PBE
State: optimized geometry

Computed properties:
**Symmetry**: Cmce
**Fermi-level density of states**: 9.8 states/eV/f.u.

abc: 7.346 8.878 9.794
angles: 90.00 112.03 90.00
Fractional positions:
1 Pr 0.500 0.500 0.000
2 Pr 0.983 0.250 0.466
3 Pr 0.517 0.750 0.534
4 Pr 0.000 0.000 0.000
5 Pr 0.483 0.250 0.466
6 Pr 0.017 0.750 0.534
7 Hg 0.673 0.532 0.347
8 Hg 0.308 0.250 0.116
9 Hg 0.808 0.250 0.116
10 Hg 0.692 0.750 0.884
11 Hg 0.827 0.032 0.653
12 Hg 0.327 0.468 0.653
13 Hg 0.173 0.968 0.347
14 Hg 0.192 0.750 0.884
15 Ac 0.600 0.918 0.200
16 Ac 0.900 0.418 0.800
17 Ac 0.100 0.582 0.200
18 Ac 0.400 0.082 0.800

***

Stability, lowest: model Q